Entry 1:
4
Lattice="1.864 1.076 6.462 -1.864 1.076 6.462 0.000 -2.152 6.462" Properties=species:S:1:pos:R:3 comment="GGA-PBEsol TlAsP2, relaxed" e_tot_ev_per_atom=-4.61 e_form_ev_per_atom=0.2233 dos_ef_per_ev_cell=1.39 total_magnetization_mub_per_fu=0.00 pbc="T T T"
Tl 0.000 0.000 0.000
As 0.000 0.000 9.694
P 0.000 0.000 4.635
P 0.000 0.000 14.753

Entry 2:
4
Lattice="4.945 -1.684 0.000 4.945 1.684 0.000 -2.115 0.000 5.362" Properties=species:S:1:pos:R:3 comment="GGA-PBEsol TlAs2P, relaxed" e_tot_ev_per_atom=-4.46 e_form_ev_per_atom=0.2012 dos_ef_per_ev_cell=1.40 total_magnetization_mub_per_fu=0.00 pbc="T T T"
Tl 0.000 0.000 0.000
As 0.651 0.000 3.362
As 7.125 0.000 2.000
P 3.888 0.000 2.681

Entry 3:
4
Lattice="-2.362 2.362 3.316 2.362 -2.362 3.316 2.362 2.362 -3.316" Properties=species:S:1:pos:R:3 comment="GGA-PBEsol TlAsP2, relaxed" e_tot_ev_per_atom=-4.23 e_form_ev_per_atom=0.6008 dos_ef_per_ev_cell=2.15 total_magnetization_mub_per_fu=0.00 pbc="T T T"
Tl 0.000 0.000 0.000
As 0.000 0.000 3.316
P 2.362 0.000 1.658
P 0.000 2.362 1.658

Entry 4:
8
Lattice="-3.055 3.055 6.103 3.055 -3.055 6.103 3.055 3.055 -6.103" Properties=species:S:1:pos:R:3 comment="GGA-PBEsol Tl2AsP, relaxed" e_tot_ev_per_atom=-3.85 e_form_ev_per_atom=0.1901 dos_ef_per_ev_cell=0.41 total_magnetization_mub_per_fu=0.00 pbc="T T T"
Tl 4.582 1.456 -1.526
Tl 1.456 1.527 1.526
Tl -1.527 1.599 4.577
Tl 1.599 1.527 7.629
As 3.055 0.000 3.052
As 0.000 0.000 6.103
P 0.000 0.000 0.000
P 0.000 3.055 3.052

Entry 5:
4
Lattice="4.845 0.000 0.000 0.000 3.446 0.000 -1.679 0.000 6.019" Properties=species:S:1:pos:R:3 comment="GGA-PBEsol Tl2AsP, relaxed" e_tot_ev_per_atom=-3.96 e_form_ev_per_atom=0.0812 dos_ef_per_ev_cell=1.21 total_magnetization_mub_per_fu=0.00 pbc="T T T"
Tl 0.000 0.000 0.000
Tl 0.739 1.723 3.787
As 2.495 1.723 1.225
P 3.167 0.000 2.703

Entry 6:
4
Lattice="3.123 0.000 0.000 0.000 4.628 0.000 0.000 0.000 6.277" Properties=species:S:1:pos:R:3 comment="GGA-PBEsol Tl2AsP, relaxed" e_tot_ev_per_atom=-3.62 e_form_ev_per_atom=0.4241 dos_ef_per_ev_cell=2.30 total_magnetization_mub_per_fu=0.00 pbc="T T T"
Tl 0.000 0.000 1.544
Tl 0.000 0.000 4.733
As 1.562 2.314 3.139
P 1.562 2.314 0.000

Entry 7:
4
Lattice="1.710 0.987 8.385 -1.710 0.987 8.385 0.000 -1.974 8.385" Properties=species:S:1:pos:R:3 comment="GGA-PBEsol TlAs2P, relaxed" e_tot_ev_per_atom=-4.49 e_form_ev_per_atom=0.1695 dos_ef_per_ev_cell=2.31 total_magnetization_mub_per_fu=0.00 pbc="T T T"
Tl 0.000 0.000 0.000
As 0.000 0.000 5.727
As 0.000 0.000 19.430
P 0.000 0.000 12.578

Entry 8:
4
Lattice="1.588 0.917 10.350 -1.588 0.917 10.350 0.000 -1.833 10.350" Properties=species:S:1:pos:R:3 comment="GGA-PBEsol Tl2AsP, relaxed" e_tot_ev_per_atom=-3.55 e_form_ev_per_atom=0.4934 dos_ef_per_ev_cell=2.42 total_magnetization_mub_per_fu=0.00 pbc="T T T"
Tl 0.000 0.000 7.668
Tl 0.000 0.000 23.382
As 0.000 0.000 0.000
P 0.000 0.000 15.525

Entry 9:
4
Lattice="1.856 -2.461 0.000 1.856 2.461 0.000 0.000 0.000 9.030" Properties=species:S:1:pos:R:3 comment="GGA-PBEsol TlAs2P, relaxed" e_tot_ev_per_atom=-4.25 e_form_ev_per_atom=0.4062 dos_ef_per_ev_cell=1.53 total_magnetization_mub_per_fu=0.00 pbc="T T T"
Tl 0.000 0.000 0.000
As 0.000 0.000 4.787
As 1.856 0.000 2.536
P 1.856 0.000 6.381

Entry 10:
4
Lattice="5.821 -1.718 0.000 5.821 1.718 0.000 -2.515 0.000 4.794" Properties=species:S:1:pos:R:3 comment="GGA-PBEsol Tl2AsP, relaxed" e_tot_ev_per_atom=-3.96 e_form_ev_per_atom=0.0794 dos_ef_per_ev_cell=1.59 total_magnetization_mub_per_fu=0.00 pbc="T T T"
Tl 0.000 0.000 0.000
Tl 0.639 0.000 3.385
As 3.847 0.000 2.019
P 8.252 0.000 1.268

Entry 11:
5
Lattice="4.671 0.000 0.000 0.000 4.671 0.000 0.000 0.000 5.064" Properties=species:S:1:pos:R:3 comment="GGA-PBEsol ZrTlAsP2, relaxed" e_tot_ev_per_atom=-4.88 e_form_ev_per_atom=0.8024 dos_ef_per_ev_cell=4.37 total_magnetization_mub_per_fu=0.00 pbc="T T T"
Zr 0.000 0.000 0.000
Tl 2.336 2.336 0.000
As 2.336 2.336 2.532
P 0.000 2.336 2.532
P 2.336 0.000 2.532

Entry 12:
6
Lattice="3.810 0.000 0.000 0.000 3.810 0.000 0.000 0.000 7.779" Properties=species:S:1:pos:R:3 comment="GGA-PBEsol UAsP, relaxed" e_tot_ev_per_atom=-8.44 e_form_ev_per_atom=-0.7523 dos_ef_per_ev_cell=8.46 total_magnetization_mub_per_fu=1.27 pbc="T T T"
U 0.953 0.953 1.594
U 2.858 2.858 6.185
As 0.953 2.858 3.889
As 2.858 0.953 3.889
P 0.953 0.953 6.650
P 2.858 2.858 1.129

Entry 13:
6
Lattice="0.000 3.501 3.501 3.501 0.000 3.501 3.501 3.501 0.000" Properties=species:S:1:pos:R:3 comment="GGA-PBEsol AsP4W, relaxed" e_tot_ev_per_atom=-6.17 e_form_ev_per_atom=0.8400 dos_ef_per_ev_cell=5.21 total_magnetization_mub_per_fu=0.00 pbc="T T T"
As 0.000 0.000 0.000
P 4.373 2.629 2.629
P 2.629 4.373 2.629
P 2.629 2.629 4.373
P 4.373 4.373 4.373
W 1.751 1.751 1.751

Entry 14:
3
Lattice="0.000 2.912 2.912 2.912 0.000 2.912 2.912 2.912 0.000" Properties=species:S:1:pos:R:3 comment="GGA-PBEsol AsPW, relaxed" e_tot_ev_per_atom=-7.63 e_form_ev_per_atom=0.6065 dos_ef_per_ev_cell=1.94 total_magnetization_mub_per_fu=0.00 pbc="T T T"
As 0.000 0.000 0.000
P 1.456 1.456 1.456
W 2.912 2.912 2.912

Entry 15:
5
Lattice="4.550 0.000 0.000 0.000 4.550 0.000 0.000 0.000 4.550" Properties=species:S:1:pos:R:3 comment="GGA-PBEsol As3PW, relaxed" e_tot_ev_per_atom=-5.70 e_form_ev_per_atom=1.2848 dos_ef_per_ev_cell=3.12 total_magnetization_mub_per_fu=2.23 pbc="T T T"
As 0.000 0.000 2.275
As 0.000 2.275 0.000
As 2.275 0.000 0.000
P 0.000 0.000 0.000
W 2.275 2.275 2.275

Entry 16:
3
Lattice="0.000 2.952 2.952 2.952 0.000 2.952 2.952 2.952 0.000" Properties=species:S:1:pos:R:3 comment="GGA-PBEsol AsPW, relaxed" e_tot_ev_per_atom=-7.34 e_form_ev_per_atom=0.8910 dos_ef_per_ev_cell=1.99 total_magnetization_mub_per_fu=0.00 pbc="T T T"
As 0.000 0.000 0.000
P 1.476 1.476 1.476
W 4.428 4.428 4.428

Entry 17:
6
Lattice="0.000 3.673 3.673 3.673 0.000 3.673 3.673 3.673 0.000" Properties=species:S:1:pos:R:3 comment="GGA-PBEsol YAsP4, relaxed" e_tot_ev_per_atom=-5.95 e_form_ev_per_atom=-0.1009 dos_ef_per_ev_cell=2.76 total_magnetization_mub_per_fu=0.00 pbc="T T T"
Y 0.000 0.000 0.000
As 1.836 1.836 1.836
P 4.528 2.817 2.817
P 2.817 4.528 2.817
P 2.817 2.817 4.528
P 4.528 4.528 4.528

Entry 18:
4
Lattice="5.453 -1.911 0.000 5.453 1.911 0.000 -0.559 0.000 4.017" Properties=species:S:1:pos:R:3 comment="GGA-PBEsol YAs2P, relaxed" e_tot_ev_per_atom=-6.37 e_form_ev_per_atom=-0.6611 dos_ef_per_ev_cell=0.48 total_magnetization_mub_per_fu=0.00 pbc="T T T"
Y 0.000 0.000 0.000
As 2.831 0.000 0.847
As 7.516 0.000 3.170
P 5.174 0.000 2.009

Entry 19:
4
Lattice="3.526 0.000 0.000 0.000 3.526 0.000 0.000 0.000 5.941" Properties=species:S:1:pos:R:3 comment="GGA-PBEsol ZnAs2P, relaxed" e_tot_ev_per_atom=-4.34 e_form_ev_per_atom=0.0571 dos_ef_per_ev_cell=1.63 total_magnetization_mub_per_fu=0.00 pbc="T T T"
Zn 0.000 0.000 0.000
As 0.000 0.000 2.481
As 1.763 1.763 5.315
P 1.763 1.763 3.002

Entry 20:
3
Lattice="-1.318 1.318 7.160 1.318 -1.318 7.160 1.318 1.318 -7.160" Properties=species:S:1:pos:R:3 comment="GGA-PBEsol ZnAsP, relaxed" e_tot_ev_per_atom=-3.77 e_form_ev_per_atom=0.3879 dos_ef_per_ev_cell=1.13 total_magnetization_mub_per_fu=0.00 pbc="T T T"
Zn 0.000 0.000 0.000
As 0.000 0.000 9.443
P 0.000 0.000 5.136

Entry 21:
8
Lattice="-2.945 2.945 5.881 2.945 -2.945 5.881 2.945 2.945 -5.881" Properties=species:S:1:pos:R:3 comment="GGA-PBEsol Zr2AsP, relaxed" e_tot_ev_per_atom=-7.78 e_form_ev_per_atom=-0.5076 dos_ef_per_ev_cell=4.99 total_magnetization_mub_per_fu=0.00 pbc="T T T"
Zr 4.418 1.394 -1.470
Zr 1.394 1.473 1.470
Zr -1.473 1.551 4.411
Zr 1.551 1.473 7.351
As 2.945 0.000 2.941
As 0.000 0.000 5.881
P 0.000 0.000 0.000
P 0.000 2.945 2.941

Entry 22:
4
Lattice="1.870 1.079 6.220 -1.870 1.079 6.220 0.000 -2.159 6.220" Properties=species:S:1:pos:R:3 comment="GGA-PBEsol Zr2AsP, relaxed" e_tot_ev_per_atom=-8.58 e_form_ev_per_atom=-1.3111 dos_ef_per_ev_cell=1.67 total_magnetization_mub_per_fu=0.00 pbc="T T T"
Zr 0.000 0.000 4.520
Zr 0.000 0.000 14.141
As 0.000 0.000 0.000
P 0.000 0.000 9.330

Entry 23:
8
Lattice="-2.915 2.915 5.464 2.915 -2.915 5.464 2.915 2.915 -5.464" Properties=species:S:1:pos:R:3 comment="GGA-PBEsol ZrAsP2, relaxed" e_tot_ev_per_atom=-6.49 e_form_ev_per_atom=-0.0439 dos_ef_per_ev_cell=6.64 total_magnetization_mub_per_fu=0.00 pbc="T T T"
Zr 0.000 0.000 0.000
Zr 0.000 2.915 2.732
As 2.915 0.000 2.732
As 0.000 0.000 5.464
P 1.457 -1.366 4.098
P 1.549 1.457 1.366
P 1.457 4.281 -1.366
P 1.366 1.457 6.830

Entry 24:
4
Lattice="2.790 -3.474 0.000 2.790 3.474 0.000 0.000 0.000 3.370" Properties=species:S:1:pos:R:3 comment="GGA-PBEsol ZrAsP2, relaxed" e_tot_ev_per_atom=-6.81 e_form_ev_per_atom=-0.3683 dos_ef_per_ev_cell=1.62 total_magnetization_mub_per_fu=0.00 pbc="T T T"
Zr 0.000 0.000 0.000
As 2.790 0.000 0.000
P 1.395 1.737 1.685
P 1.395 -1.737 1.685

Entry 25:
4
Lattice="3.597 0.000 0.000 0.000 3.694 0.000 0.000 0.000 5.165" Properties=species:S:1:pos:R:3 comment="GGA-PBEsol ZrAsP2, relaxed" e_tot_ev_per_atom=-6.77 e_form_ev_per_atom=-0.3295 dos_ef_per_ev_cell=2.14 total_magnetization_mub_per_fu=0.00 pbc="T T T"
Zr 0.000 0.000 0.000
As 0.000 1.847 2.582
P 1.798 0.000 2.582
P 1.798 1.847 0.000

Entry 26:
4
Lattice="4.709 -1.700 0.000 4.709 1.700 0.000 -0.086 0.000 4.624" Properties=species:S:1:pos:R:3 comment="GGA-PBEsol ZrAs2P, relaxed" e_tot_ev_per_atom=-6.66 e_form_ev_per_atom=-0.3838 dos_ef_per_ev_cell=2.15 total_magnetization_mub_per_fu=0.00 pbc="T T T"
Zr 0.000 0.000 0.000
As 2.555 0.000 3.653
As 4.830 0.000 2.248
P 6.781 0.000 0.773

Entry 27:
14
Lattice="-4.229 4.229 4.229 4.229 -4.229 4.229 4.229 4.229 -4.229" Properties=species:S:1:pos:R:3 comment="GGA-PBEsol Pa3As4, relaxed" e_tot_ev_per_atom=-8.35 e_form_ev_per_atom=-1.0437 dos_ef_per_ev_cell=20.17 total_magnetization_mub_per_fu=0.00 pbc="T T T"
Pa 6.343 1.057 0.000
Pa 3.171 0.000 2.114
Pa 2.114 3.171 0.000
Pa 0.000 2.114 3.171
Pa 1.057 0.000 6.343
Pa 0.000 6.343 1.057
As 3.556 0.673 -0.673
As 5.670 -1.442 1.442
As 0.673 0.673 0.673
As 0.673 -0.673 3.556
As -0.673 3.556 0.673
As 1.442 5.670 -1.442
As 2.787 2.787 2.787
As -1.442 1.442 5.670

Entry 28:
2
Lattice="0.000 2.860 2.860 2.860 0.000 2.860 2.860 2.860 0.000" Properties=species:S:1:pos:R:3 comment="GGA-PBEsol PaAs, relaxed" e_tot_ev_per_atom=-8.71 e_form_ev_per_atom=-1.0375 dos_ef_per_ev_cell=1.97 total_magnetization_mub_per_fu=0.00 pbc="T T T"
Pa 0.000 0.000 0.000
As 2.860 2.860 2.860

Entry 29:
6
Lattice="3.970 0.000 0.000 0.000 3.970 0.000 0.000 0.000 8.025" Properties=species:S:1:pos:R:3 comment="GGA-PBEsol PaAs2, relaxed" e_tot_ev_per_atom=-7.76 e_form_ev_per_atom=-0.9443 dos_ef_per_ev_cell=3.15 total_magnetization_mub_per_fu=0.00 pbc="T T T"
Pa 0.993 0.993 1.757
Pa 2.978 2.978 6.268
As 0.993 0.993 6.884
As 0.993 2.978 4.012
As 2.978 0.993 4.012
As 2.978 2.978 1.141